Record 1
VASP calculation (meta-GGA SCAN) on YBeSi at its PBEsol-relaxed geometry.

Summary:
Its space-group type is P-6m2. The magnetic moment comes out at 0.0 Bohr magnetons per cell. As for the uncorrected energy: -14.798 eV per atom.

a b c (Å): 3.850 3.850 3.981
angles (deg): 90.00 90.00 120.00
Fractional positions:
1 Y 0.000 0.000 0.000
2 Be 0.667 0.333 0.500
3 Si 0.333 0.667 0.500

=====

Record 2
VASP calculation (meta-GGA SCAN) on YBe2Si2 at its PBEsol-relaxed geometry.

Summary:
Its space-group type is I4/mmm. The magnetic moment comes out at 0.0 Bohr magnetons per cell. As for the uncorrected energy: -11.670 eV per atom.

a b c (Å): 5.593 5.593 5.593
angles (deg): 139.87 139.87 58.05
Fractional positions:
1 Y 0.000 0.000 0.000
2 Be 0.250 0.750 0.500
3 Be 0.750 0.250 0.500
4 Si 0.378 0.378 0.000
5 Si 0.622 0.622 0.000

=====

Record 3
VASP calculation (meta-GGA SCAN) on Y3BeSi at its PBEsol-relaxed geometry.

Summary:
Its space-group type is Pm-3m. The magnetic moment comes out at 1.3 Bohr magnetons per cell. As for the uncorrected energy: -19.321 eV per atom.

a b c (Å): 5.292 5.292 5.292
angles (deg): 90.00 90.00 90.00
Fractional positions:
1 Y 0.000 0.000 0.500
2 Y 0.000 0.500 0.000
3 Y 0.500 0.000 0.000
4 Be 0.500 0.500 0.500
5 Si 0.000 0.000 0.000

=====

Record 4
VASP calculation (meta-GGA SCAN) on YBeSi2 at its PBEsol-relaxed geometry.

Summary:
Its space-group type is P4/mmm. The magnetic moment comes out at 0.0 Bohr magnetons per cell. As for the uncorrected energy: -13.151 eV per atom.

a b c (Å): 3.989 3.989 3.977
angles (deg): 90.00 90.00 90.00
Fractional positions:
1 Y 0.000 0.000 0.000
2 Be 0.500 0.500 0.000
3 Si 0.000 0.500 0.500
4 Si 0.500 0.000 0.500